## Ni5P4O16 (GGA+U)

Data for a relaxed structure of Ni5P4O16.

Summary:
Polymorph energy (0 for the lowest one) = 0 kJ/mol of formula units
Calculated volume = 11.98 A^3/atom
Symmetry = P-1

a = 5.062 Å, b = 7.915 Å, c = 8.255 Å
α = 112.26°, β = 90.12°, γ = 100.94°
Fractional coordinates of all 25 atoms:
1 Ni 0.000 0.000 0.000
2 Ni 0.105 0.236 0.765
3 Ni 0.346 0.594 0.320
4 Ni 0.654 0.406 0.680
5 Ni 0.895 0.764 0.235
6 P 0.150 0.213 0.426
7 P 0.381 0.701 0.975
8 P 0.619 0.299 0.025
9 P 0.850 0.787 0.574
10 O 0.074 0.031 0.262
11 O 0.084 0.754 0.447
12 O 0.226 0.674 0.130
13 O 0.249 0.823 0.908
14 O 0.257 0.376 0.377
15 O 0.314 0.216 0.965
16 O 0.355 0.185 0.555
17 O 0.355 0.503 0.826
18 O 0.645 0.497 0.174
19 O 0.645 0.815 0.445
20 O 0.686 0.784 0.035
21 O 0.743 0.624 0.623
22 O 0.751 0.177 0.092
23 O 0.774 0.326 0.870
24 O 0.916 0.246 0.553
25 O 0.926 0.969 0.738

## NiPO4 (GGA+U)

Data for a relaxed structure of NiPO4.

Summary:
Calculated total energy = -37.220 eV/f.u.
Calculated volume = 11.04 A^3/atom
Symmetry = Cmcm

a = 4.750 Å, b = 4.750 Å, c = 6.401 Å
α = 90.00°, β = 90.00°, γ = 113.47°
Fractional coordinates of all 12 atoms:
1 Ni 0.000 0.000 0.000
2 Ni 0.000 0.000 0.500
3 P 0.355 0.645 0.750
4 P 0.645 0.355 0.250
5 O 0.222 0.289 0.750
6 O 0.248 0.752 0.548
7 O 0.248 0.752 0.952
8 O 0.289 0.222 0.250
9 O 0.711 0.778 0.750
10 O 0.752 0.248 0.048
11 O 0.752 0.248 0.452
12 O 0.778 0.711 0.250

## NiP3O9 (GGA+U)

Data for a relaxed structure of NiP3O9.

Summary:
Polymorph energy (0 for the lowest one) = 0 kJ/mol of formula units
Calculated volume = 16.27 A^3/atom
Symmetry = R3

a = 6.266 Å, b = 6.266 Å, c = 6.266 Å
α = 105.74°, β = 105.74°, γ = 105.74°
Fractional coordinates of all 13 atoms:
1 Ni 0.000 0.000 0.000
2 P 0.055 0.910 0.490
3 P 0.490 0.055 0.910
4 P 0.910 0.490 0.055
5 O 0.061 0.341 0.062
6 O 0.062 0.061 0.341
7 O 0.325 0.939 0.631
8 O 0.341 0.062 0.061
9 O 0.631 0.325 0.939
10 O 0.659 0.927 0.951
11 O 0.927 0.951 0.659
12 O 0.939 0.631 0.325
13 O 0.951 0.659 0.927

## NiP2O2 (GGA+U)

Data for a relaxed structure of NiP2O2.

Summary:
Polymorph energy (0 for the lowest one) = 354 kJ/mol of formula units
Calculated volume = 12.12 A^3/atom
Symmetry = P4/mmm

a = 3.619 Å, b = 3.619 Å, c = 4.624 Å
α = 90.00°, β = 90.00°, γ = 90.00°
Fractional coordinates of all 5 atoms:
1 Ni 0.000 0.000 0.000
2 P 0.000 0.000 0.500
3 P 0.500 0.500 0.500
4 O 0.000 0.500 0.000
5 O 0.500 0.000 0.000

## Ni3P2O8 (GGA+U)

Data for a relaxed structure of Ni3P2O8.

Summary:
Polymorph energy (0 for the lowest one) = 0 kJ/mol of formula units
Calculated volume = 11.00 A^3/atom
Symmetry = P2_1/c

a = 5.893 Å, b = 4.746 Å, c = 10.227 Å
α = 90.00°, β = 90.85°, γ = 90.00°
Fractional coordinates of all 26 atoms:
1 Ni 0.000 0.000 0.000
2 Ni 0.000 0.500 0.500
3 Ni 0.258 0.013 0.725
4 Ni 0.258 0.487 0.225
5 Ni 0.742 0.513 0.775
6 Ni 0.742 0.987 0.275
7 P 0.248 0.577 0.905
8 P 0.248 0.923 0.405
9 P 0.752 0.077 0.595
10 P 0.752 0.423 0.095
11 O 0.034 0.735 0.838
12 O 0.034 0.765 0.338
13 O 0.231 0.246 0.398
14 O 0.231 0.254 0.898
15 O 0.243 0.691 0.047
16 O 0.243 0.809 0.547
17 O 0.447 0.698 0.826
18 O 0.447 0.802 0.326
19 O 0.553 0.198 0.674
20 O 0.553 0.302 0.174
21 O 0.757 0.191 0.453
22 O 0.757 0.309 0.953
23 O 0.769 0.746 0.102
24 O 0.769 0.754 0.602
25 O 0.966 0.235 0.662
26 O 0.966 0.265 0.162

## NiP3O9 (GGA+U)

Data for a relaxed structure of NiP3O9.

Summary:
Polymorph energy (0 for the lowest one) = 90 kJ/mol of formula units
Calculated volume = 12.12 A^3/atom
Symmetry = C222_1

a = 6.711 Å, b = 6.711 Å, c = 7.011 Å
α = 90.00°, β = 90.00°, γ = 93.40°
Fractional coordinates of all 26 atoms:
1 Ni 0.189 0.189 0.000
2 Ni 0.811 0.811 0.500
3 P 0.275 0.275 0.500
4 P 0.283 0.693 0.963
5 P 0.307 0.717 0.537
6 P 0.693 0.283 0.037
7 P 0.717 0.307 0.463
8 P 0.725 0.725 0.000
9 O 0.118 0.824 0.525
10 O 0.164 0.231 0.683
11 O 0.176 0.882 0.975
12 O 0.187 0.500 0.037
13 O 0.231 0.164 0.317
14 O 0.263 0.505 0.437
15 O 0.352 0.648 0.750
16 O 0.495 0.737 0.063
17 O 0.500 0.187 0.963
18 O 0.500 0.813 0.463
19 O 0.505 0.263 0.563
20 O 0.648 0.352 0.250
21 O 0.737 0.495 0.937
22 O 0.769 0.836 0.817
23 O 0.813 0.500 0.537
24 O 0.824 0.118 0.475
25 O 0.836 0.769 0.183
26 O 0.882 0.176 0.025

## Ni2PO5 (GGA+U)

Data for a relaxed structure of Ni2PO5.

Summary:
Polymorph energy (0 for the lowest one) = 0 kJ/mol of formula units
Calculated volume = 10.80 A^3/atom
Symmetry = I4_1/amd

a = 7.115 Å, b = 7.115 Å, c = 7.115 Å
α = 135.77°, β = 135.77°, γ = 64.33°
Fractional coordinates of all 16 atoms:
1 Ni 0.000 0.000 0.000
2 Ni 0.000 0.000 0.500
3 Ni 0.000 0.500 0.000
4 Ni 0.500 0.000 0.500
5 P 0.375 0.625 0.750
6 P 0.625 0.375 0.250
7 O 0.125 0.875 0.250
8 O 0.200 0.694 0.507
9 O 0.306 0.313 0.507
10 O 0.306 0.800 0.993
11 O 0.313 0.306 0.007
12 O 0.687 0.694 0.993
13 O 0.694 0.200 0.007
14 O 0.694 0.687 0.493
15 O 0.800 0.306 0.493
16 O 0.875 0.125 0.750

## NiP2O2 (GGA+U)

Data for a relaxed structure of NiP2O2.

Summary:
Polymorph energy (0 for the lowest one) = 579 kJ/mol of formula units
Calculated volume = 13.23 A^3/atom
Symmetry = P4/mmm

a = 4.375 Å, b = 4.375 Å, c = 3.456 Å
α = 90.00°, β = 90.00°, γ = 90.00°
Fractional coordinates of all 5 atoms:
1 Ni 0.000 0.000 0.000
2 P 0.000 0.500 0.000
3 P 0.500 0.000 0.000
4 O 0.000 0.000 0.500
5 O 0.500 0.500 0.500